The following is a PBE calculation of a relaxed ThGa2Os crystal, from Alexandria.

The structure belongs to space group C2/c (No. 15); the cell edges are 6.055, 11.247 and 5.433 Å and the angles 90.00°, 117.28° and 90.00°. The distinct sites, in fractional coordinates, are Th at (0.000, 0.137, 0.250), Ga at (0.102, 0.401, 0.062) and Os at (0.000, 0.212, 0.750).

The value obtained for the formation energy is -0.427 eV/atom. As for the total energy: -105.6 eV per cell. The density of states at the Fermi level comes out at 7.60 states/eV/cell. The calculation puts the distance to the lowest polymorph of the same formula at 18 meV/atom.